Run a
Material: Co3WS
Method: DFT, PBEsol
State: relaxed

Cell lengths 4.387, 4.387, 4.387 Å; angles 90.00, 90.00, 90.00 degrees
Fractional positions:
Co (0.000, 0.000, 0.500)
Co (0.000, 0.500, 0.000)
Co (0.500, 0.000, 0.000)
W (0.000, 0.000, 0.000)
S (0.500, 0.500, 0.500)

Output
Its density of states at the Fermi level is 1.77 states/eV per atom. For the total moment, the calculation gives 1.087 Bohr magnetons per cell.

Run b
Material: Co3WS
Method: DFT, PBEsol
State: relaxed

Cell lengths 4.006, 4.006, 4.006 Å; angles 90.00, 90.00, 90.00 degrees
Fractional positions:
Co (0.000, 0.000, 0.500)
Co (0.000, 0.500, 0.000)
Co (0.500, 0.000, 0.000)
W (0.500, 0.500, 0.500)
S (0.000, 0.000, 0.000)

Output
Its density of states at the Fermi level is 1.50 states/eV per atom. For the total moment, the calculation gives 3.618 Bohr magnetons per cell.

Ranked by calculated energy, most stable first: run b, run a.

Run a
Material: Co2SbTe
Method: DFT, PBEsol
State: relaxed

Cell lengths 4.632, 4.632, 4.632 Å; angles 60.00, 60.00, 60.00 degrees
Fractional positions:
Co (0.000, 0.000, 0.000)
Co (0.250, 0.250, 0.250)
Sb (0.750, 0.750, 0.750)
Te (0.500, 0.500, 0.500)

Output
Its density of states at the Fermi level is 1.89 states/eV per atom. For the total moment, the calculation gives 2.100 Bohr magnetons per cell.

Run b
Material: Co2SbTe
Method: DFT, PBEsol
State: relaxed

Cell lengths 3.836, 3.836, 5.137 Å; angles 90.00, 90.00, 120.00 degrees
Fractional positions:
Co (0.000, 0.000, 0.249)
Co (0.000, 0.000, 0.751)
Sb (0.333, 0.667, 0.500)
Te (0.667, 0.333, 0.000)

Output
Its density of states at the Fermi level is 0.74 states/eV per atom. For the total moment, the calculation gives 0.001 Bohr magnetons per cell.

Run c
Material: Co2SbTe
Method: DFT, PBEsol
State: relaxed

Cell lengths 4.505, 4.505, 4.505 Å; angles 121.72, 119.99, 88.54 degrees
Fractional positions:
Co (0.225, 0.225, 0.000)
Co (0.775, 0.775, 0.000)
Sb (0.000, 0.500, 0.500)
Te (0.500, 0.000, 0.500)

Output
Its density of states at the Fermi level is 1.52 states/eV per atom. For the total moment, the calculation gives 0.283 Bohr magnetons per cell.

Ranked by calculated energy, most stable first: run b, run c, run a.

Run a
Material: Tl2CoSb
Method: DFT, PBEsol
State: relaxed

Cell lengths 3.181, 3.181, 8.662 Å; angles 90.00, 90.00, 90.00 degrees
Fractional positions:
Tl (0.000, 0.000, 0.000)
Tl (0.500, 0.500, 0.306)
Co (0.000, 0.000, 0.526)
Sb (0.500, 0.500, 0.677)

Output
Its density of states at the Fermi level is 0.74 states/eV per atom. For the total moment, the calculation gives 0.693 Bohr magnetons per cell.

Run b
Material: Tl2CoSb
Method: DFT, PBEsol
State: relaxed

Cell lengths 4.184, 4.184, 5.170 Å; angles 90.00, 90.00, 90.00 degrees
Fractional positions:
Tl (0.000, 0.500, 0.000)
Tl (0.500, 0.000, 0.000)
Co (0.000, 0.000, 0.500)
Sb (0.500, 0.500, 0.500)

Output
Its density of states at the Fermi level is 1.73 states/eV per atom. For the total moment, the calculation gives 1.702 Bohr magnetons per cell.

Run c
Material: Tl2CoSb
Method: DFT, PBEsol
State: relaxed

Cell lengths 6.183, 6.183, 3.562 Å; angles 105.91, 105.91, 124.73 degrees
Fractional positions:
Tl (0.000, 0.500, 0.000)
Tl (0.500, 0.000, 0.000)
Co (0.000, 0.000, 0.500)
Sb (0.500, 0.500, 0.500)

Output
Its density of states at the Fermi level is 1.30 states/eV per atom. For the total moment, the calculation gives 1.542 Bohr magnetons per cell.

Ranked by calculated energy, most stable first: run a, run c, run b.

Run a
Material: CoSbW
Method: DFT, PBEsol
State: relaxed

Cell lengths 4.135, 4.135, 4.135 Å; angles 60.00, 60.00, 60.00 degrees
Fractional positions:
Co (0.000, 0.000, 0.000)
Sb (0.750, 0.750, 0.750)
W (0.250, 0.250, 0.250)

Output
Its density of states at the Fermi level is 1.01 states/eV per atom. For the total moment, the calculation gives 1.810 Bohr magnetons per cell.

Run b
Material: CoSbW
Method: DFT, PBEsol
State: relaxed

Cell lengths 4.279, 4.279, 4.279 Å; angles 60.00, 60.00, 60.00 degrees
Fractional positions:
Co (0.000, 0.000, 0.000)
Sb (0.500, 0.500, 0.500)
W (0.250, 0.250, 0.250)

Output
Its density of states at the Fermi level is 1.27 states/eV per atom. For the total moment, the calculation gives 0.267 Bohr magnetons per cell.

Ranked by calculated energy, most stable first: run a, run b.

Run a
Material: ScCo2Tc
Method: DFT, PBEsol
State: relaxed

Cell lengths 8.635, 8.635, 8.635 Å; angles 18.04, 18.04, 18.04 degrees
Fractional positions:
Sc (0.000, 0.000, 0.000)
Co (0.248, 0.248, 0.248)
Co (0.509, 0.509, 0.509)
Tc (0.764, 0.764, 0.764)

Output
Its density of states at the Fermi level is 1.21 states/eV per atom. For the total moment, the calculation gives 2.716 Bohr magnetons per cell.

Run b
Material: ScCo2Tc
Method: DFT, PBEsol
State: relaxed

Cell lengths 3.149, 4.024, 4.192 Å; angles 90.00, 90.00, 90.00 degrees
Fractional positions:
Sc (0.000, 0.000, 0.000)
Co (0.000, 0.500, 0.500)
Co (0.500, 0.500, 0.000)
Tc (0.500, 0.000, 0.500)

Output
Its density of states at the Fermi level is 1.40 states/eV per atom. For the total moment, the calculation gives 3.172 Bohr magnetons per cell.

Ranked by calculated energy, most stable first: run b, run a.

Run a
Material: ScCoW2
Method: DFT, PBEsol
State: relaxed

Cell lengths 2.716, 2.716, 8.206 Å; angles 90.00, 90.00, 90.00 degrees
Fractional positions:
Sc (0.000, 0.000, 0.000)
Co (0.500, 0.500, 0.770)
W (0.000, 0.000, 0.572)
W (0.500, 0.500, 0.296)

Output
Its density of states at the Fermi level is 0.69 states/eV per atom. For the total moment, the calculation gives 0.000 Bohr magnetons per cell.

Run b
Material: ScCoW2
Method: DFT, PBEsol
State: relaxed

Cell lengths 3.125, 3.125, 6.263 Å; angles 90.00, 90.00, 90.00 degrees
Fractional positions:
Sc (0.000, 0.000, 0.000)
Co (0.500, 0.500, 0.744)
W (0.000, 0.000, 0.517)
W (0.500, 0.500, 0.284)

Output
Its density of states at the Fermi level is 0.84 states/eV per atom. For the total moment, the calculation gives 0.001 Bohr magnetons per cell.

Ranked by calculated energy, most stable first: run b, run a.

Run a
Material: YScCo2
Method: DFT, PBEsol
State: relaxed

Cell lengths 4.499, 4.499, 4.499 Å; angles 60.00, 60.00, 60.00 degrees
Fractional positions:
Y (0.000, 0.000, 0.000)
Sc (0.500, 0.500, 0.500)
Co (0.250, 0.250, 0.250)
Co (0.750, 0.750, 0.750)

Output
Its density of states at the Fermi level is 0.57 states/eV per atom. For the total moment, the calculation gives 0.260 Bohr magnetons per cell.

Run b
Material: YScCo2
Method: DFT, PBEsol
State: relaxed

Cell lengths 7.603, 7.603, 7.603 Å; angles 24.92, 24.92, 24.92 degrees
Fractional positions:
Y (0.000, 0.000, 0.000)
Sc (0.500, 0.500, 0.500)
Co (0.246, 0.246, 0.246)
Co (0.754, 0.754, 0.754)

Output
Its density of states at the Fermi level is 1.12 states/eV per atom. For the total moment, the calculation gives 0.906 Bohr magnetons per cell.

Run c
Material: YScCo2
Method: DFT, PBEsol
State: relaxed

Cell lengths 5.876, 5.876, 5.876 Å; angles 148.87, 138.83, 52.50 degrees
Fractional positions:
Y (0.000, 0.000, 0.000)
Sc (0.720, 0.220, 0.500)
Co (0.267, 0.767, 0.500)
Co (0.423, 0.423, 0.000)

Output
Its density of states at the Fermi level is 0.91 states/eV per atom. For the total moment, the calculation gives 1.143 Bohr magnetons per cell.

Ranked by calculated energy, most stable first: run a, run c, run b.

Run a
Material: YSc2Co
Method: DFT, PBEsol
State: relaxed

Cell lengths 3.161, 3.161, 8.250 Å; angles 90.00, 90.00, 90.00 degrees
Fractional positions:
Y (0.000, 0.000, 0.000)
Sc (0.500, 0.500, 0.321)
Sc (0.500, 0.500, 0.679)
Co (0.000, 0.000, 0.500)

Output
Its density of states at the Fermi level is 1.19 states/eV per atom. For the total moment, the calculation gives 0.280 Bohr magnetons per cell.

Run b
Material: YSc2Co
Method: DFT, PBEsol
State: relaxed

Cell lengths 10.143, 10.143, 10.143 Å; angles 17.83, 17.83, 17.83 degrees
Fractional positions:
Y (0.000, 0.000, 0.000)
Sc (0.426, 0.426, 0.426)
Sc (0.574, 0.574, 0.574)
Co (0.500, 0.500, 0.500)

Output
Its density of states at the Fermi level is 1.03 states/eV per atom. For the total moment, the calculation gives 0.618 Bohr magnetons per cell.

Ranked by calculated energy, most stable first: run a, run b.